*a*
4
Lattice="10.631 0.020 -0.057 9.922 3.819 -0.057 0.993 0.185 4.451" Properties=species:S:1:pos:R:3 comment="K2CaCu PBE optimized geometry" spacegroup="C2/m, No. 12" pbc="T T T"
K 8.944 1.670 2.603
K 2.822 0.527 4.017
Ca 5.386 1.006 1.084
Cu 16.159 3.018 3.253

---

*b*
4
Lattice="-1.183 -6.145 -1.974 3.291 0.622 5.643 -3.781 0.020 2.203" Properties=species:S:1:pos:R:3 comment="K2CaCu PBE optimized geometry" spacegroup="Cmmm, No. 65" pbc="T T T"
Ca -2.482 -3.062 0.114
K 1.054 -2.761 1.834
K 0.000 0.000 0.000
Cu -0.245 0.321 3.923

---

*c*
4
Lattice="-5.300 -1.240 0.094 -2.944 -4.436 1.137 -2.626 1.008 9.021" Properties=species:S:1:pos:R:3 comment="K2CaCu PBE optimized geometry" spacegroup="Cm, No. 8" pbc="T T T"
Ca -5.243 -1.850 6.173
K -3.147 0.456 8.505
K -2.883 -1.088 3.179
Cu -7.659 -3.511 6.541

---

*d*
4
Lattice="3.975 0.082 0.000 -0.063 3.975 0.000 0.000 0.000 10.820" Properties=species:S:1:pos:R:3 comment="K2CaCu PBE optimized geometry" spacegroup="Cmmm, No. 65" pbc="T T T"
K 0.000 0.000 10.081
K 0.000 0.000 6.150
Ca 1.956 2.029 2.705
Cu 1.956 2.029 8.115

---

Verdict on stability: *b* comes out at the bottom.

---

*a*
8
Lattice="11.370 0.000 0.000 0.000 11.370 0.000 5.685 5.685 2.968" Properties=species:S:1:pos:R:3 comment="K2CaCu PBE optimized geometry" spacegroup="I-42d, No. 122" pbc="T T T"
K 14.212 15.544 2.226
K 1.511 8.527 0.742
K 8.527 7.196 2.226
K 9.859 2.842 0.742
Cu 0.000 0.000 0.000
Cu 11.370 5.685 1.484
Ca 5.685 11.370 1.484
Ca 5.685 5.685 0.000

---

*b*
4
Lattice="-3.627 1.332 -0.682 -1.125 -3.607 -1.060 -2.768 -2.198 10.422" Properties=species:S:1:pos:R:3 comment="K2CaCu PBE optimized geometry" spacegroup="P4mm, No. 99" pbc="T T T"
K -3.159 -1.759 2.075
K -2.557 -2.030 9.626
Ca -1.632 -1.296 6.144
Cu -4.326 -2.686 6.470

---

*c*
4
Lattice="-2.916 1.844 -2.169 -0.667 -3.595 -2.159 -7.400 -4.719 5.939" Properties=species:S:1:pos:R:3 comment="K2CaCu PBE optimized geometry" spacegroup="Pm, No. 6" pbc="T T T"
K -7.475 -7.442 3.725
K -3.835 -1.094 0.398
Ca -4.809 -4.689 2.480
Cu -6.966 -5.718 0.678

---

Verdict on stability: *a* comes out at the bottom.

---

*a*
4
Lattice="-3.182 -3.813 5.956 3.681 -5.955 3.336 -0.287 7.520 -1.873" Properties=species:S:1:pos:R:3 comment="K2CaCu PBE optimized geometry" spacegroup="Imm2, No. 44" pbc="T T T"
K 0.032 -0.633 0.602
K -1.614 -0.520 4.300
Ca 0.211 -4.131 3.930
Cu 1.831 -1.847 3.233

---

*b*
4
Lattice="4.366 0.000 0.000 0.000 8.030 0.434 0.000 5.584 5.796" Properties=species:S:1:pos:R:3 comment="K2CaCu PBE optimized geometry" spacegroup="P2/m, No. 10" pbc="T T T"
K 0.000 8.069 3.692
K 0.000 12.353 5.653
Cu 2.183 10.211 4.672
Ca 2.183 3.404 1.557

---

Verdict on stability: *b* comes out at the bottom.

---

*a*
5
Lattice="5.499 0.000 0.000 0.000 5.499 0.000 0.000 0.000 5.499" Properties=species:S:1:pos:R:3 comment="KCaCu3 PBE optimized geometry" spacegroup="Pm-3m, No. 221" pbc="T T T"
K 2.749 2.749 2.749
Cu 2.749 0.000 0.000
Cu 0.000 0.000 2.749
Cu 0.000 2.749 0.000
Ca 0.000 0.000 0.000

---

*b*
5
Lattice="5.257 0.000 0.000 0.000 5.257 0.000 0.000 0.000 5.257" Properties=species:S:1:pos:R:3 comment="KCaCu3 PBE optimized geometry" spacegroup="Pm-3m, No. 221" pbc="T T T"
Cu 0.000 2.628 0.000
Cu 0.000 0.000 2.628
Cu 2.628 0.000 0.000
K 0.000 0.000 0.000
Ca 2.628 2.628 2.628

---

Verdict on stability: *b* comes out at the bottom.

---

*a*
5
Lattice="4.654 0.000 0.000 0.000 4.654 0.000 2.327 2.327 7.232" Properties=species:S:1:pos:R:3 comment="K2CaCu2 PBE optimized geometry" spacegroup="I4/mmm, No. 139" pbc="T T T"
K 2.327 4.654 3.616
K 4.654 2.327 3.616
Cu 4.654 4.654 6.068
Cu 2.327 2.327 1.164
Ca 0.000 0.000 0.000

---

*b*
10
Lattice="7.724 0.000 0.000 0.000 7.724 0.000 0.000 0.000 5.447" Properties=species:S:1:pos:R:3 comment="K2CaCu2 PBE optimized geometry" spacegroup="P4/mbm, No. 127" pbc="T T T"
K 6.428 2.565 2.723
K 5.159 6.428 2.723
K 2.565 1.297 2.723
K 1.297 5.159 2.723
Cu 4.728 0.866 0.000
Cu 6.859 4.728 0.000
Cu 0.866 2.997 0.000
Cu 2.997 6.859 0.000
Ca 0.000 0.000 0.000
Ca 3.862 3.862 0.000

---

Verdict on stability: *a* comes out at the bottom.

---

*a*
5
Lattice="-5.644 0.979 -0.087 -0.423 -1.964 5.365 0.931 5.551 2.106" Properties=species:S:1:pos:R:3 comment="KNaCa2Cu PBE optimized geometry" spacegroup="P4/mmm, No. 123" pbc="T T T"
Na 0.465 2.775 1.053
Cu 0.000 0.000 0.000
Ca -2.822 0.490 -0.043
Ca -0.212 -0.982 2.682
K -2.568 2.283 3.692

---

*b*
5
Lattice="5.714 0.000 0.000 0.000 5.714 0.000 0.000 0.000 6.348" Properties=species:S:1:pos:R:3 comment="KNaCa2Cu PBE optimized geometry" spacegroup="P4/mmm, No. 123" pbc="T T T"
Ca 0.000 2.857 0.000
Ca 2.857 0.000 0.000
Cu 0.000 0.000 0.000
K 0.000 0.000 3.174
Na 2.857 2.857 3.174

---

Verdict on stability: *b* comes out at the bottom.